(1)
Pm6InIr | Alexandria via LeMat-Bulk | PBE-GGA | relaxed; formation energy from the elements = -0.154 eV/atom
1.0
6.6113 0.3124 0.0000
1.7546 7.9237 0.0000
0.8773 3.9618 5.2023
Pm Ir In
6 1 1
direct
0.2108 0.8111 0.6199 Pm
0.2108 0.4310 0.3801 Pm
0.7892 0.1889 0.3801 Pm
0.6489 0.7830 0.0000 Pm
0.7892 0.5690 0.6199 Pm
0.3511 0.2170 0.0000 Pm
0.5000 0.5000 0.0000 Ir
0.0000 0.0000 0.0000 In

=====

(2)
MnV2I8 | Alexandria via LeMat-Bulk | PBE-GGA | relaxed; formation energy (no corrections) = -362.4 meV/atom
1.0
7.0489 0.1313 0.0997
0.2323 8.6560 -0.5152
0.2323 1.8346 8.4750
I V Mn
8 2 1
direct
0.2486 0.3848 0.3848 I
0.2674 0.8116 0.8116 I
0.2199 0.9208 0.2742 I
0.7801 0.7258 0.0792 I
0.7801 0.0792 0.7258 I
0.7326 0.1884 0.1884 I
0.2199 0.2742 0.9208 I
0.7514 0.6152 0.6152 I
0.3627 0.1983 0.1983 V
0.6373 0.8017 0.8017 V
0.0000 0.0000 0.0000 Mn

=====

Record-wise magnetic moment values, in μB per cell: 0.00 9.00